Entry 1:
Below is a relaxed Pr3PBr3 crystal, with properties calculated at the PBE level.

**Magnetization**: 0.7 μB per formula unit
**Space-group type**: C2/m

Cell: 8.5426 8.5426 8.8358 Å, 114.50 114.50 102.90°
Sites, in units of the cell vectors:
1 Br 0.8449 0.1551 0.5000
2 Br 0.7564 0.2436 0.0000
3 Br 0.6333 0.6333 0.2827
4 Br 0.1551 0.8449 0.5000
5 Br 0.2436 0.7564 0.0000
6 Br 0.3667 0.3667 0.7173
7 Pr 0.9876 0.9876 0.7559
8 Pr 0.7531 0.4253 0.7661
9 Pr 0.0124 0.0124 0.2441
10 Pr 0.2469 0.5747 0.2339
11 Pr 0.4253 0.7531 0.7661
12 Pr 0.5747 0.2469 0.2339
13 P 0.2343 0.2343 0.1815
14 P 0.7657 0.7657 0.8185

=====

Entry 2:
Below is a relaxed Pr2PBr3 crystal, with properties calculated at the PBE level.

**Magnetization**: 0.0 μB per formula unit
**Space-group type**: C2/m

Cell: 4.5595 8.8952 11.1281 Å, 75.29 78.18 75.15°
Sites, in units of the cell vectors:
1 Br 0.2318 0.1445 0.3918
2 Br 0.3413 0.3067 0.0106
3 Br 0.6587 0.6933 0.9894
4 Br 0.9442 0.8556 0.2561
5 Br 0.0558 0.1444 0.7439
6 Br 0.7682 0.8555 0.6082
7 Pr 0.3972 0.7570 0.4485
8 Pr 0.1410 0.5319 0.1861
9 Pr 0.6028 0.2430 0.5515
10 Pr 0.8590 0.4681 0.8139
11 P 0.5860 0.4911 0.3370
12 P 0.4140 0.5089 0.6630

=====

Entry 3:
Below is a relaxed Pr3PBr3 crystal, with properties calculated at the PBE level.

**Magnetization**: 0.0 μB per formula unit
**Space-group type**: P2_1/m

Cell: 4.1792 8.7840 12.0256 Å, 89.95 90.00 90.00°
Sites, in units of the cell vectors:
1 Br 0.2500 0.8721 0.8816
2 Br 0.2500 0.3702 0.8773
3 Br 0.7500 0.6298 0.1227
4 Br 0.7500 0.1279 0.1184
5 Br 0.7500 0.6193 0.6323
6 Br 0.2500 0.3807 0.3677
7 P 0.7500 0.1225 0.6184
8 P 0.2500 0.8775 0.3816
9 Pr 0.7500 0.1256 0.8505
10 Pr 0.2500 0.3378 0.6271
11 Pr 0.2500 0.8744 0.1495
12 Pr 0.7500 0.0968 0.3831
13 Pr 0.7500 0.6622 0.3729
14 Pr 0.2500 0.9032 0.6169

=====

Entry 4:
Below is a relaxed Pr3PBr3 crystal, with properties calculated at the PBE level.

**Magnetization**: 0.0 μB per formula unit
**Space-group type**: I4_132

Cell: 10.3697 10.3697 10.3697 Å, 109.47 109.47 109.47°
Sites, in units of the cell vectors:
1 Br 0.7441 0.9941 0.9882
2 Br 0.9882 0.7441 0.9941
3 Br 0.2500 0.7559 0.7441
4 Br 0.5118 0.5059 0.7559
5 Br 0.5059 0.7559 0.5118
6 Br 0.7441 0.2500 0.7559
7 Br 0.5059 0.2500 0.9941
8 Br 0.7559 0.7441 0.2500
9 Br 0.7559 0.5118 0.5059
10 Br 0.9941 0.9882 0.7441
11 Br 0.9941 0.5059 0.2500
12 Br 0.2500 0.9941 0.5059
13 P 0.2500 0.5000 0.0000
14 P 0.2500 0.2500 0.2500
15 P 0.0000 0.2500 0.5000
16 P 0.5000 0.0000 0.2500
17 Pr 0.2360 0.2640 0.7500
18 Pr 0.7500 0.0140 0.4860
19 Pr 0.4860 0.2360 0.4720
20 Pr 0.4860 0.7500 0.0140
21 Pr 0.2360 0.4720 0.4860
22 Pr 0.2640 0.0140 0.0280
23 Pr 0.7500 0.2360 0.2640
24 Pr 0.0140 0.0280 0.2640
25 Pr 0.0280 0.2640 0.0140
26 Pr 0.0140 0.4860 0.7500
27 Pr 0.4720 0.4860 0.2360
28 Pr 0.2640 0.7500 0.2360

=====

Per-record formation energy without anion corrections, eV per formula unit: -8.27, -10.02, -11.34, -11.58